First-principles (PBE+U) data for an optimized crystal structure of PuCr2CoO8, as listed in Alexandria via LeMat-Bulk.

Cell and atoms, written as POSCAR:
```
PuCr2CoO8
1.0
4.650 -0.043 -0.003
-0.009 4.650 -0.005
0.004 0.007 6.071
Cr Pu O Co
2 1 8 1
direct
0.500 0.500 0.763
0.500 0.500 0.237
0.000 0.000 0.500
0.686 0.686 0.500
0.805 0.195 0.237
0.805 0.195 0.763
0.195 0.805 0.763
0.195 0.805 0.237
0.298 0.298 0.000
0.702 0.702 0.000
0.314 0.314 0.500
0.000 0.000 0.000
```

calculated density = 6.77 g/cm3
E = -95.56 eV per formula unit